No. 1
A relaxed CuRe2Ru crystal, computed with PBE-GGA.

**Relative energy among the computed polymorphs**: 0.024 eV/atom
**Space group**: No. 99
**E_form**: 0.1978 eV per atom

Unit cell a=2.7463 b=2.7463 c=7.4879 alpha=90.00 beta=90.00 gamma=90.00
Atoms (fractional coordinates):
1 Cu 0.5000 0.5000 0.7478
2 Re 0.0000 0.0000 0.9889
3 Re 0.5000 0.5000 0.2624
4 Ru 0.0000 0.0000 0.5009

=====

No. 2
A relaxed CuReRu4 crystal, computed with PBE-GGA.

**Space group**: No. 216
**E_form**: 0.6145 eV per atom

Unit cell a=5.0142 b=5.0142 c=5.0142 alpha=60.00 beta=60.00 gamma=60.00
Atoms (fractional coordinates):
1 Re 0.0000 0.0000 0.0000
2 Ru 0.6246 0.6246 0.6246
3 Ru 0.1261 0.6246 0.6246
4 Cu 0.2500 0.2500 0.2500
5 Ru 0.6246 0.1261 0.6246
6 Ru 0.6246 0.6246 0.1261

=====

No. 3
A relaxed CuRe4Ru crystal, computed with PBE-GGA.

**Space group**: No. 216
**E_form**: 0.5836 eV per atom

Unit cell a=5.1214 b=5.1214 c=5.1214 alpha=60.00 beta=60.00 gamma=60.00
Atoms (fractional coordinates):
1 Cu 0.0000 0.0000 0.0000
2 Re 0.3742 0.3742 0.3742
3 Ru 0.7500 0.7500 0.7500
4 Re 0.8775 0.3742 0.3742
5 Re 0.3742 0.3742 0.8775
6 Re 0.3742 0.8775 0.3742

=====

No. 4
A relaxed CuRe2Ru crystal, computed with PBE-GGA.

**Relative energy among the computed polymorphs**: 0.084 eV/atom
**Space group**: No. 65
**E_form**: 0.2574 eV per atom

Unit cell a=4.7236 b=4.7236 c=2.7109 alpha=90.00 beta=90.00 gamma=111.52
Atoms (fractional coordinates):
1 Ru 0.5000 0.0000 0.5000
2 Re 0.5000 0.5000 0.0000
3 Re 0.0000 0.0000 0.0000
4 Cu 0.0000 0.5000 0.5000

=====

No. 5
A relaxed CuRe2Ru crystal, computed with PBE-GGA.

**Relative energy among the computed polymorphs**: 0.030 eV/atom
**Space group**: No. 8
**E_form**: 0.2035 eV per atom

Unit cell a=4.7155 b=4.7155 c=4.7006 alpha=81.03 beta=81.03 gamma=33.33
Atoms (fractional coordinates):
1 Re 0.9956 0.9956 0.9998
2 Cu 0.7498 0.7498 0.7493
3 Ru 0.5082 0.5082 0.4980
4 Re 0.2464 0.2464 0.2529

=====

No. 6
A relaxed CuReRu crystal, computed with PBE-GGA.

**Relative energy among the computed polymorphs**: 0.020 eV/atom
**Space group**: No. 156
**E_form**: 0.1463 eV per atom

Unit cell a=2.7296 b=2.7296 c=6.5447 alpha=90.00 beta=90.00 gamma=120.00
Atoms (fractional coordinates):
1 Re 0.6667 0.3333 0.3415
2 Ru 0.3333 0.6667 0.6591
3 Cu 0.0000 0.0000 0.9994

=====

No. 7
A relaxed CuReRu crystal, computed with PBE-GGA.

**Relative energy among the computed polymorphs**: 0.573 eV/atom
**Space group**: No. 216
**E_form**: 0.6988 eV per atom

Unit cell a=4.1058 b=4.1058 c=4.1058 alpha=60.00 beta=60.00 gamma=60.00
Atoms (fractional coordinates):
1 Re 0.5000 0.5000 0.5000
2 Ru 0.7500 0.7500 0.7500
3 Cu 0.0000 0.0000 0.0000

=====

No. 8
A relaxed CuRe2Ru crystal, computed with PBE-GGA.

**Relative energy among the computed polymorphs**: 0.106 eV/atom
**Space group**: No. 99
**E_form**: 0.2794 eV per atom

Unit cell a=3.1022 b=3.1022 c=5.8590 alpha=90.00 beta=90.00 gamma=90.00
Atoms (fractional coordinates):
1 Re 0.5000 0.5000 0.2403
2 Cu 0.5000 0.5000 0.7493
3 Re 0.0000 0.0000 0.9888
4 Ru 0.0000 0.0000 0.5216

=====

no.,volume (Å³/atom)
1,14.1
2,14.9
3,15.8
4,14.1
5,14.2
6,14.1
7,16.3
8,14.1